Record 1
Compound: KAgSnSe3
Source: the Open Quantum Materials Database
Functional: PBE
Structure: relaxed

```
KAgSnSe3
1.0
-2.471 -2.437 2.477
-2.521 -6.382 -8.792
10.976 -8.244 2.837
Ag K Se Sn
4 4 12 4
direct
0.250 0.758 0.219
0.750 0.258 0.281
0.250 0.742 0.719
0.750 0.242 0.781
0.750 0.991 0.150
0.250 0.491 0.350
0.750 0.509 0.650
0.250 0.009 0.850
0.250 0.792 0.039
0.750 0.490 0.113
0.250 0.215 0.184
0.750 0.715 0.316
0.250 0.990 0.387
0.750 0.292 0.461
0.250 0.708 0.539
0.750 0.010 0.613
0.250 0.285 0.684
0.750 0.785 0.816
0.250 0.510 0.887
0.750 0.208 0.961
0.250 0.349 0.030
0.750 0.849 0.470
0.250 0.151 0.530
0.750 0.651 0.970
```

Properties
* space-group type: Pnma (62)
* V: 27.77 A^3/atom
* E_tot: -86.4 eV for the cell shown



Record 2
Compound: LuCuAsOs
Source: the Open Quantum Materials Database
Functional: PBE
Structure: relaxed

```
LuCuAsOs
1.0
-3.446 -1.662 -2.521
-4.310 1.273 0.889
-2.229 2.737 -2.921
As Cu Lu Os
1 1 1 1
direct
0.000 0.000 0.000
0.750 0.750 0.750
0.250 0.250 0.250
0.500 0.500 0.500
```

Properties
* space-group type: F-43m (216)
* magnetic moment: 0.072 μB/cell
* V: 17.00 A^3/atom
* E_tot: -23.2 eV for the cell shown